Compound: PrAlAg
Source: Alexandria
Functional: PBE
Structure: optimized geometry

## Properties
Total DFT energy (no corrections) (eV per atom): -4.162
DFT formation energy (eV per atom): -0.3712

a b c (Å): 10.692 4.713 7.618
angles (deg): 90.00 131.94 90.00
Space group C2/m (No. 12)
Symmetry-distinct sites (fractional):
1 Pr 0.041 0.000 0.299
2 Al 0.159 0.500 0.106
3 Ag 0.175 0.500 0.732

***

Compound: PrAl3Ag2
Source: Alexandria
Functional: PBE
Structure: optimized geometry

## Properties
Total DFT energy (no corrections) (eV per atom): -3.976
DFT formation energy (eV per atom): -0.3572

a b c (Å): 5.6036 5.6036 4.3752
angles (deg): 90.00 90.00 120.00
Space group P6/mmm (No. 191)
Symmetry-distinct sites (fractional):
1 Pr 0.0000 0.0000 0.0000
2 Al 0.0000 0.5000 0.5000
3 Ag 0.3333 0.6667 0.0000

***

Compound: Pr2AlAg6
Source: Alexandria
Functional: PBE
Structure: optimized geometry

## Properties
Total DFT energy (no corrections) (eV per atom): -3.594
DFT formation energy (eV per atom): -0.2153

a b c (Å): 6.1181 6.1181 6.0712
angles (deg): 90.00 90.00 120.00
Space group P-3m1 (No. 164)
Symmetry-distinct sites (fractional):
1 Pr 0.3333 0.6667 0.1504
2 Al 0.0000 0.0000 0.0000
3 Ag 0.1762 0.3523 0.6769

***

Compound: Pr5Al2Ag
Source: Alexandria
Functional: PBE
Structure: optimized geometry

## Properties
Total DFT energy (no corrections) (eV per atom): -4.486
DFT formation energy (eV per atom): -0.2068

a b c (Å): 7.871 7.871 15.603
angles (deg): 90.00 90.00 90.00
Space group I4/mcm (No. 140)
Symmetry-distinct sites (fractional):
1 Pr 0.000 0.000 0.000
2 Pr 0.171 0.329 0.148
3 Al 0.117 0.383 0.500
4 Ag 0.000 0.000 0.250

***

Compound: Pr5AlAg2
Source: Alexandria
Functional: PBE
Structure: optimized geometry

## Properties
Total DFT energy (no corrections) (eV per atom): -4.338
DFT formation energy (eV per atom): -0.1706

a b c (Å): 8.406 8.406 13.389
angles (deg): 90.00 90.00 90.00
Space group I4/mcm (No. 140)
Symmetry-distinct sites (fractional):
1 Pr 0.000 0.000 0.000
2 Pr 0.159 0.341 0.151
3 Al 0.000 0.000 0.250
4 Ag 0.129 0.371 0.500

***

Compound: PrAl2Ag5
Source: Alexandria
Functional: PBE
Structure: optimized geometry

## Properties
Total DFT energy (no corrections) (eV per atom): -3.484
DFT formation energy (eV per atom): -0.1684

a b c (Å): 4.157 7.627 10.250
angles (deg): 90.00 90.00 90.00
Space group Immm (No. 71)
Symmetry-distinct sites (fractional):
1 Pr 0.000 0.000 0.000
2 Al 0.000 0.500 0.255
3 Ag 0.000 0.190 0.354
4 Ag 0.000 0.500 0.000

***

Compound: PrAl3Ag2
Source: Alexandria
Functional: PBE
Structure: optimized geometry

## Properties
Total DFT energy (no corrections) (eV per atom): -3.854
DFT formation energy (eV per atom): -0.2355

a b c (Å): 16.385 4.350 7.846
angles (deg): 90.00 116.36 90.00
Space group C2/m (No. 12)
Symmetry-distinct sites (fractional):
1 Pr 0.148 0.000 0.077
2 Al 0.032 0.000 0.370
3 Al 0.112 0.500 0.718
4 Al 0.187 0.500 0.454
5 Ag 0.020 0.500 0.187
6 Ag 0.193 0.000 0.683

***

Compound: PrAl4Ag
Source: Alexandria
Functional: PBE
Structure: optimized geometry

## Properties
Total DFT energy (no corrections) (eV per atom): -4.025
DFT formation energy (eV per atom): -0.2586

a b c (Å): 10.366 7.003 7.206
angles (deg): 90.00 110.70 90.00
Space group C2/m (No. 12)
Symmetry-distinct sites (fractional):
1 Pr 0.161 0.000 0.279
2 Al 0.000 0.286 0.500
3 Al 0.114 0.307 0.939
4 Al 0.160 0.000 0.755
5 Ag 0.107 0.500 0.292

***

Compound: Pr3AlAg
Source: Alexandria
Functional: PBE
Structure: optimized geometry

## Properties
Total DFT energy (no corrections) (eV per atom): -4.320
DFT formation energy (eV per atom): -0.1334

a b c (Å): 16.638 7.175 11.647
angles (deg): 90.00 121.73 90.00
Space group C2/c (No. 15)
Symmetry-distinct sites (fractional):
1 Pr 0.008 0.240 0.467
2 Pr 0.115 0.442 0.832
3 Pr 0.235 0.072 0.796
4 Al 0.159 0.064 0.000
5 Ag 0.000 0.052 0.750
6 Ag 0.250 0.250 0.500

***

Compound: Pr3AlAg2
Source: Alexandria
Functional: PBE
Structure: optimized geometry

## Properties
Total DFT energy (no corrections) (eV per atom): -4.250
DFT formation energy (eV per atom): -0.2858

a b c (Å): 3.756 3.756 11.421
angles (deg): 90.00 90.00 90.00
Space group P4/mmm (No. 123)
Symmetry-distinct sites (fractional):
1 Pr 0.000 0.000 0.000
2 Pr 0.000 0.000 0.337
3 Al 0.500 0.500 0.500
4 Ag 0.500 0.500 0.170

***

Compound: PrAl7Ag5
Source: Alexandria
Functional: PBE
Structure: optimized geometry

## Properties
Total DFT energy (no corrections) (eV per atom): -3.676
DFT formation energy (eV per atom): -0.1967

a b c (Å): 5.569 9.347 9.115
angles (deg): 90.00 90.00 90.00
Space group Imm2 (No. 44)
Symmetry-distinct sites (fractional):
1 Pr 0.000 0.000 0.000
2 Al 0.000 0.000 0.353
3 Al 0.000 0.000 0.644
4 Al 0.000 0.287 0.507
5 Al 0.000 0.353 0.997
6 Al 0.000 0.500 0.279
7 Ag 0.000 0.500 0.719
8 Ag 0.249 0.259 0.254

***

Compound: Pr6AlAg2
Source: Alexandria
Functional: PBE
Structure: optimized geometry

## Properties
Total DFT energy (no corrections) (eV per atom): -4.384
DFT formation energy (eV per atom): -0.1481

a b c (Å): 10.330 10.335 10.338
angles (deg): 90.00 90.00 90.00
Space group Immm (No. 71)
Symmetry-distinct sites (fractional):
1 Pr 0.000 0.198 0.248
2 Pr 0.230 0.500 0.174
3 Pr 0.235 0.320 0.500
4 Al 0.000 0.000 0.000
5 Al 0.000 0.000 0.500
6 Ag 0.000 0.361 0.000
7 Ag 0.000 0.500 0.367

***

Compound: Pr5AlAg4
Source: Alexandria
Functional: PBE
Structure: optimized geometry

## Properties
Total DFT energy (no corrections) (eV per atom): -4.174
DFT formation energy (eV per atom): -0.2699

a b c (Å): 3.752 3.752 19.146
angles (deg): 90.00 90.00 90.00
Space group P4/mmm (No. 123)
Symmetry-distinct sites (fractional):
1 Pr 0.000 0.000 0.000
2 Pr 0.000 0.000 0.201
3 Pr 0.000 0.000 0.402
4 Al 0.500 0.500 0.500
5 Ag 0.500 0.500 0.100
6 Ag 0.500 0.500 0.301

***

Compound: PrAl2Ag
Source: Alexandria
Functional: PBE
Structure: optimized geometry

## Properties
Total DFT energy (no corrections) (eV per atom): -4.160
DFT formation energy (eV per atom): -0.3813

a b c (Å): 4.699 10.644 6.854
angles (deg): 90.00 90.00 90.00
Space group Cmcm (No. 63)
Symmetry-distinct sites (fractional):
1 Pr 0.000 0.092 0.250
2 Al 0.000 0.378 0.055
3 Ag 0.000 0.202 0.750

***

Compound: PrAlAg2
Source: Alexandria
Functional: PBE
Structure: optimized geometry

## Properties
Total DFT energy (no corrections) (eV per atom): -3.865
DFT formation energy (eV per atom): -0.3091

a b c (Å): 7.158 4.683 10.483
angles (deg): 90.00 90.00 90.00
Space group Pnma (No. 62)
Symmetry-distinct sites (fractional):
1 Pr 0.236 0.250 0.163
2 Al 0.082 0.250 0.856
3 Ag 0.043 0.750 0.390
4 Ag 0.201 0.750 0.958

***

Compound: PrAlAg2
Source: Alexandria
Functional: PBE
Structure: optimized geometry

## Properties
Total DFT energy (no corrections) (eV per atom): -3.680
DFT formation energy (eV per atom): -0.1234

a b c (Å): 3.251 3.251 7.913
angles (deg): 90.00 90.00 90.00
Space group P4/mmm (No. 123)
Symmetry-distinct sites (fractional):
1 Pr 0.000 0.000 0.000
2 Al 0.000 0.000 0.500
3 Ag 0.500 0.500 0.302

***

Compound: Pr8Al2Ag
Source: Alexandria
Functional: PBE
Structure: optimized geometry

## Properties
Total DFT energy (no corrections) (eV per atom): -4.559
DFT formation energy (eV per atom): -0.1433

a b c (Å): 19.195 5.254 7.019
angles (deg): 90.00 103.50 90.00
Space group C2/m (No. 12)
Symmetry-distinct sites (fractional):
1 Pr 0.021 0.000 0.268
2 Pr 0.095 0.500 0.968
3 Pr 0.158 0.500 0.469
4 Pr 0.206 0.000 0.799
5 Al 0.186 0.000 0.240
6 Ag 0.000 0.500 0.500

***

Compound: Pr6AlAg5
Source: Alexandria
Functional: PBE
Structure: optimized geometry

## Properties
Total DFT energy (no corrections) (eV per atom): -4.149
DFT formation energy (eV per atom): -0.2597

a b c (Å): 5.337 7.604 8.444
angles (deg): 90.00 108.36 90.00
Space group P2/m (No. 10)
Symmetry-distinct sites (fractional):
1 Pr 0.000 0.248 0.000
2 Pr 0.334 0.252 0.666
3 Al 0.500 0.500 0.000
4 Ag 0.158 0.500 0.320
5 Ag 0.166 0.000 0.335
6 Ag 0.500 0.000 0.000

***

Compound: PrAl2Ag10
Source: Alexandria
Functional: PBE
Structure: optimized geometry

## Properties
Total DFT energy (no corrections) (eV per atom): -3.249
DFT formation energy (eV per atom): -0.1121

a b c (Å): 5.427 13.490 13.539
angles (deg): 90.00 90.00 90.00
Space group Fmmm (No. 69)
Symmetry-distinct sites (fractional):
1 Pr 0.000 0.000 0.000
2 Al 0.250 0.250 0.000
3 Ag 0.000 0.111 0.394
4 Ag 0.000 0.178 0.170
5 Ag 0.250 0.000 0.250

***

Compound: PrAl2Ag
Source: Alexandria
Functional: PBE
Structure: optimized geometry

## Properties
Total DFT energy (no corrections) (eV per atom): -4.159
DFT formation energy (eV per atom): -0.3799

a b c (Å): 4.339 18.643 4.441
angles (deg): 90.00 90.00 90.00
Space group Cmcm (No. 63)
Symmetry-distinct sites (fractional):
1 Pr 0.000 0.105 0.250
2 Al 0.000 0.250 0.750
3 Al 0.000 0.465 0.250
4 Ag 0.000 0.328 0.250

***

Compound: Pr6AlAg
Source: Alexandria
Functional: PBE
Structure: optimized geometry

## Properties
Total DFT energy (no corrections) (eV per atom): -4.455
DFT formation energy (eV per atom): -0.0460

a b c (Å): 6.295 6.307 6.309
angles (deg): 93.11 93.35 93.34
Space group P-1 (No. 2)
Symmetry-distinct sites (fractional):
1 Pr 0.027 0.051 0.250
2 Pr 0.250 0.468 0.950
3 Pr 0.451 0.750 0.469
4 Al 0.500 0.000 0.000
5 Ag 0.000 0.500 0.500